Material: MnSeI3
Method: DFT, PBE-GGA
State: optimized geometry

a = 5.2225 Å, b = 5.2225 Å, c = 5.2225 Å
α = 90.00°, β = 90.00°, γ = 90.00°
Positions (direct):
I (0.0000, 0.0000, 0.5000)
I (0.0000, 0.5000, 0.0000)
I (0.5000, 0.0000, 0.0000)
Se (0.5000, 0.5000, 0.5000)
Mn (0.0000, 0.0000, 0.0000)

Summary:
- uncorrected formation energy (meV per atom) = 607



Material: VGe2Rh4
Method: DFT, PBE-GGA
State: optimized geometry

a = 4.5655 Å, b = 4.5655 Å, c = 6.8943 Å
α = 70.66°, β = 70.66°, γ = 90.00°
Positions (direct):
Ge (0.3844, 0.3844, 0.2313)
Ge (0.6156, 0.6156, 0.7687)
Rh (0.8146, 0.8146, 0.3709)
Rh (0.1854, 0.1854, 0.6291)
Rh (0.0000, 0.5000, 0.0000)
Rh (0.5000, 0.0000, 0.0000)
V (0.0000, 0.0000, 0.0000)



Material: HfRhAu2
Method: DFT, PBE-GGA
State: optimized geometry

a = 7.5564 Å, b = 7.5564 Å, c = 5.9748 Å
α = 50.78°, β = 50.78°, γ = 90.00°
Positions (direct):
Rh (0.5000, 0.5000, 0.0000)
Rh (0.2500, 0.7500, 0.5000)
Au (0.3750, 0.3813, 0.7500)
Au (0.1313, 0.6250, 0.2500)
Au (0.8750, 0.8687, 0.7500)
Au (0.6187, 0.1250, 0.2500)
Hf (0.7500, 0.2500, 0.5000)
Hf (0.0000, 0.0000, 0.0000)



Material: Li2Mg4Tl
Method: DFT, PBE-GGA
State: optimized geometry

a = 4.0273 Å, b = 4.0273 Å, c = 10.8529 Å
α = 100.69°, β = 100.69°, γ = 90.00°
Positions (direct):
Tl (0.0000, 0.0000, 0.0000)
Mg (0.8624, 0.8624, 0.7248)
Mg (0.2500, 0.7500, 0.5000)
Mg (0.1376, 0.1376, 0.2752)
Mg (0.7500, 0.2500, 0.5000)
Li (0.5732, 0.5732, 0.1463)
Li (0.4268, 0.4268, 0.8537)



Material: Sc3BCl
Method: DFT, PBE-GGA
State: optimized geometry

a = 4.7099 Å, b = 4.7099 Å, c = 4.7099 Å
α = 90.00°, β = 90.00°, γ = 90.00°
Last column: magnetic moment on the atom in μB.
Positions (direct):
Sc (0.5000, 0.0000, 0.0000)  0.36
Sc (0.0000, 0.5000, 0.0000)  0.27
Sc (0.0000, 0.0000, 0.5000)  0.28
Cl (0.5000, 0.5000, 0.5000)  0.02
B (0.0000, 0.0000, 0.0000)  -0.03

Summary:
- uncorrected formation energy (meV per atom) = -211



Material: HfThH2
Method: DFT, PBE-GGA
State: optimized geometry

a = 3.2793 Å, b = 3.2793 Å, c = 6.3925 Å
α = 75.14°, β = 75.14°, γ = 60.00°
Positions (direct):
H (0.2820, 0.2820, 0.1541)
H (0.7180, 0.7180, 0.8459)
Th (0.5000, 0.5000, 0.5000)
Hf (0.0000, 0.0000, 0.0000)



Material: Cs2K7Na12
Method: DFT, PBE-GGA
State: optimized geometry

a = 4.3755 Å, b = 17.3705 Å, c = 17.3707 Å
α = 120.00°, β = 90.00°, γ = 90.00°
Positions (direct):
K (0.4709, 0.7259, 0.6037)
K (0.5291, 0.2741, 0.3963)
K (0.4709, 0.8778, 0.2741)
K (0.5000, 0.0000, 0.0000)
K (0.5291, 0.6037, 0.8778)
K (0.5291, 0.1222, 0.7259)
K (0.4709, 0.3963, 0.1222)
Na (0.0994, 0.6162, 0.0847)
Na (0.0994, 0.4685, 0.3838)
Na (0.9867, 0.8210, 0.0544)
Na (0.9006, 0.3838, 0.9153)
Na (0.9867, 0.9456, 0.7666)
Na (0.0133, 0.7666, 0.8210)
Na (0.0994, 0.9153, 0.5315)
Na (0.0133, 0.1790, 0.9456)
Na (0.9867, 0.2334, 0.1790)
Na (0.0133, 0.0544, 0.2334)
Na (0.9006, 0.5315, 0.6162)
Na (0.9006, 0.0847, 0.4685)
Cs (0.7021, 0.6667, 0.3333)
Cs (0.2979, 0.3333, 0.6667)



Material: Cu8AgAu2
Method: DFT, PBE-GGA
State: optimized geometry

a = 5.1189 Å, b = 4.9230 Å, c = 7.8705 Å
α = 108.23°, β = 122.27°, γ = 90.00°
Positions (direct):
Cu (0.2462, 0.6545, 0.8262)
Cu (0.7181, 0.4193, 0.8385)
Cu (0.7538, 0.8283, 0.1738)
Cu (0.2819, 0.5807, 0.1615)
Cu (0.7538, 0.3455, 0.1738)
Cu (0.2462, 0.1717, 0.8262)
Cu (0.1579, 0.2492, 0.4985)
Cu (0.8421, 0.7508, 0.5015)
Ag (0.0000, 0.0000, 0.0000)
Au (0.4037, 0.7871, 0.5742)
Au (0.5963, 0.2129, 0.4258)



| no. | final energy (eV/atom) |
| --- | --- |
| 1 | -2.854 |
| 2 | -6.379 |
| 3 | -6.054 |
| 4 | -1.727 |
| 5 | -5.715 |
| 6 | -6.231 |
| 7 | -1.153 |
| 8 | -3.723 |